Compound: La2TbTm8
Source: Alexandria via LeMat-Bulk
Functional: PBE-GGA
Structure: relaxed

Results
Symmetry ... C2/m, No. 12

Cell: 5.022 7.922 9.378 Å, 104.65 105.53 90.00°
Fractional positions:
La1 0.773 0.363 0.546
La2 0.227 0.637 0.454
Tb1 0.500 0.000 0.000
Tm1 0.412 0.547 0.823
Tm2 0.680 0.906 0.360
Tm3 0.866 0.825 0.731
Tm4 0.957 0.273 0.914
Tm5 0.134 0.175 0.269
Tm6 0.320 0.094 0.640
Tm7 0.588 0.453 0.177
Tm8 0.043 0.727 0.086

***

Compound: SrBeCo2
Source: Alexandria via LeMat-Bulk
Functional: PBE-GGA
Structure: relaxed

Results
Symmetry ... R3m, No. 160

Cell: 3.924 3.924 5.793 Å, 70.16 70.16 60.00°
Last column: magnetic moment on the atom in μB.
Fractional positions:
Sr1 0.500 0.500 0.500  -0.07
Co1 0.998 0.998 0.005  1.12
Co2 0.683 0.683 0.949  1.16
Be1 0.318 0.318 0.046  -0.08

***

Compound: Li2PrTl
Source: Alexandria via LeMat-Bulk
Functional: PBE-GGA
Structure: relaxed

Results
Symmetry ... Fm-3m, No. 225

Cell: 4.981 4.981 4.981 Å, 60.00 60.00 60.00°
Fractional positions:
Pr1 0.500 0.500 0.500
Tl1 0.000 0.000 0.000
Li1 0.250 0.250 0.250
Li2 0.750 0.750 0.750

***

Formation enthalpy at 0 K: 3.6 2.3 -25.0 (kJ/mol of atoms)
Final energy: -4.53 -4.88 -3.00 (eV per atom)